A plane-wave DFT calculation with PBE+U was carried out for a relaxed structure of CaMg14FeO16.

The calculation puts the offset from the most stable computed form at 0.029 eV/atom. For the calculated total energy, the calculation gives -0.44045 Ry per atom. As for the total magnetic moment: 4.0 μB/f.u.

It has space group P4/mmm (No. 123), with a = 8.609 Å, b = 8.609 Å, c = 4.322 Å, α = 90.00°, β = 90.00° and γ = 90.00°. The distinct sites, in fractional coordinates, are Ca at (0.000, 0.000, 0.000), Mg at (0.000, 0.256, 0.500), Mg at (0.000, 0.500, 0.000), Mg at (0.251, 0.500, 0.500), Mg at (0.253, 0.253, 0.000), Fe at (0.500, 0.500, 0.000), O at (0.000, 0.000, 0.500), O at (0.000, 0.263, 0.000), O at (0.000, 0.500, 0.500), O at (0.248, 0.500, 0.000), O at (0.250, 0.250, 0.500) and O at (0.500, 0.500, 0.500).